## Tm2MgNi (PBE)

Data for an optimized crystal structure of Tm2MgNi.

Crystal system ... cubic
Final energy ... -4.217 eV per atom
Formation energy ... -137 meV/atom
Total magnetic moment ... 0.000 Bohr magnetons per cell

Cell: 4.9778 4.9778 4.9778 Å, 60.00 60.00 60.00°
Fractional positions:
1 Tm 0.2500 0.2500 0.2500
2 Tm 0.7500 0.7500 0.7500
3 Mg 0.0000 0.0000 0.0000
4 Ni 0.5000 0.5000 0.5000